Crystalline K2CaYMo at its relaxed geometry, computed with GGA-PBE.

Output
E_form ... 1.563 eV/atom
V ... 197.5 Å³/cell
Size of the total moment ... 0.522 μB/f.u.
Space group ... No. 123
N(E_F) ... 5.98 states/eV/cell
Total DFT energy (no corrections) ... -2.7358 eV per atom

Cell lengths 5.9996, 5.9996, 5.4862 Å; angles 90.00, 90.00, 90.00 degrees
Positions (direct):
K 0.0000 0.5000 0.0000
K 0.5000 0.0000 0.0000
Ca 0.0000 0.0000 0.5000
Y 0.5000 0.5000 0.5000
Mo 0.0000 0.0000 0.0000